No. 1
The following is a GGA-PBE calculation of crystalline BeNb2Ag at its relaxed geometry, from the Open Quantum Materials Database.

Cell and atoms, written as CIF:
```
data_BeNb2Ag
_chemical_formula_sum 'Be4 Nb8 Ag4'
_symmetry_space_group_name_H-M 'F -4 3 m'
_symmetry_Int_Tables_number 216
_symmetry_space_group_name_Hall 'F -4 2 3'
_cell_length_a 6.3936
_cell_length_b 6.3936
_cell_length_c 6.3936
_cell_angle_alpha 90.00
_cell_angle_beta 90.00
_cell_angle_gamma 90.00
loop_
_atom_site_label
_atom_site_type_symbol
_atom_site_fract_x
_atom_site_fract_y
_atom_site_fract_z
_atom_site_occupancy
Be1 Be 0.0000 0.0000 0.0000 1
Nb1 Nb 0.0000 0.0000 0.5000 1
Nb2 Nb 0.2500 0.2500 0.7500 1
Ag1 Ag 0.2500 0.2500 0.2500 1
```

Results
The magnetization is 0.13 μB/atom. The value obtained for the electronic total energy is -6.100 eV/atom.

=====

No. 2
The following is a GGA-PBE calculation of crystalline KHoCdTe3 at its relaxed geometry, from the Open Quantum Materials Database.

Cell and atoms, written as CIF:
```
data_KHoCdTe3
_chemical_formula_sum 'K4 Ho4 Cd4 Te12'
_symmetry_space_group_name_H-M 'C 1 2/m 1'
_symmetry_Int_Tables_number 12
_symmetry_space_group_name_Hall '-C 2y'
_cell_length_a 19.4246
_cell_length_b 4.4664
_cell_length_c 9.7822
_cell_angle_alpha 90.00
_cell_angle_beta 103.39
_cell_angle_gamma 90.00
loop_
_atom_site_label
_atom_site_type_symbol
_atom_site_fract_x
_atom_site_fract_y
_atom_site_fract_z
_atom_site_occupancy
K1 K 0.1403 0.0000 0.0682 1
Ho1 Ho 0.1756 0.0000 0.5843 1
Cd1 Cd 0.0185 0.5000 0.7196 1
Te1 Te 0.0000 0.0000 0.5000 1
Te2 Te 0.0000 0.5000 0.0000 1
Te3 Te 0.1642 0.5000 0.3640 1
Te4 Te 0.1722 0.5000 0.7973 1
```

Results
The magnetization is 0.00 μB/atom. The value obtained for the electronic total energy is -3.629 eV/atom.

=====

No. 3
The following is a GGA-PBE calculation of crystalline LaBeGaNi at its relaxed geometry, from the Open Quantum Materials Database.

Cell and atoms, written as CIF:
```
data_LaBeGaNi
_chemical_formula_sum 'La4 Be4 Ga4 Ni4'
_symmetry_space_group_name_H-M 'F -4 3 m'
_symmetry_Int_Tables_number 216
_symmetry_space_group_name_Hall 'F -4 2 3'
_cell_length_a 6.5019
_cell_length_b 6.5019
_cell_length_c 6.5019
_cell_angle_alpha 90.00
_cell_angle_beta 90.00
_cell_angle_gamma 90.00
loop_
_atom_site_label
_atom_site_type_symbol
_atom_site_fract_x
_atom_site_fract_y
_atom_site_fract_z
_atom_site_occupancy
La1 La 0.0000 0.0000 0.0000 1
Be1 Be 0.2500 0.2500 0.2500 1
Ga1 Ga 0.0000 0.0000 0.5000 1
Ni1 Ni 0.2500 0.2500 0.7500 1
```

Results
The magnetization is 0.01 μB/atom. The value obtained for the electronic total energy is -4.428 eV/atom.

=====

No. 4
The following is a GGA-PBE calculation of crystalline Co4W9 at its relaxed geometry, from the Open Quantum Materials Database.

Cell and atoms, written as CIF:
```
data_Co4W9
_chemical_formula_sum 'Co12 W27'
_symmetry_space_group_name_H-M 'R -3 m'
_symmetry_Int_Tables_number 166
_symmetry_space_group_name_Hall '-R 3 2"'
_cell_length_a 5.1345
_cell_length_b 5.1345
_cell_length_c 26.0371
_cell_angle_alpha 90.00
_cell_angle_beta 90.00
_cell_angle_gamma 120.00
loop_
_atom_site_label
_atom_site_type_symbol
_atom_site_fract_x
_atom_site_fract_y
_atom_site_fract_z
_atom_site_occupancy
Co1 Co 0.0000 0.0000 0.0433 1
Co2 Co 0.0000 0.0000 0.3332 1
W1 W 0.0000 0.0000 0.1509 1
W2 W 0.0000 0.0000 0.5000 1
W3 W 0.0026 0.5013 0.9180 1
```

Results
The magnetization is 0.00 μB/atom. The value obtained for the electronic total energy is -10.722 eV/atom. The calculation puts the energy of formation from the pure elements at 437 meV per atom.

=====

- magnetization of number 2 (KHoCdTe3)?
  0.00 μB/atom